Compound: Cd2HgSb2
Source: the Alexandria database
Functional: GGA-PBE
Structure: relaxed

Values from the calculation:
- offset from the most stable computed form (kJ/mol of formula units) = 0
- E_form (uncorrected) (meV per atom) = 35

Structure (CIF):
```
data_Cd2HgSb2
_chemical_formula_sum 'Cd2 Hg1 Sb2'
_symmetry_space_group_name_H-M 'P 1'
_symmetry_Int_Tables_number 1
_cell_length_a 5.301
_cell_length_b 5.301
_cell_length_c 6.631
_cell_angle_alpha 66.44
_cell_angle_beta 66.44
_cell_angle_gamma 90.00
loop_
_symmetry_equiv_pos_as_xyz
'x,y,z'
loop_
_atom_site_label
_atom_site_fract_x
_atom_site_fract_y
_atom_site_fract_z
_atom_site_occupancy
Hg1 0.000 0.000 0.000 1
Sb1 0.371 0.371 0.258 1
Sb2 0.629 0.629 0.742 1
Cd1 0.750 0.250 0.500 1
Cd2 0.250 0.750 0.500 1
```



Compound: SbPt2Br2
Source: the Alexandria database
Functional: GGA-PBE
Structure: relaxed

Values from the calculation:
- E_form (uncorrected) (meV per atom) = 644

Structure (CIF):
```
data_SbPt2Br2
_chemical_formula_sum 'Sb1 Pt2 Br2'
_symmetry_space_group_name_H-M 'P 1'
_symmetry_Int_Tables_number 1
_cell_length_a 5.721
_cell_length_b 5.721
_cell_length_c 5.721
_cell_angle_alpha 126.35
_cell_angle_beta 126.35
_cell_angle_gamma 79.31
loop_
_symmetry_equiv_pos_as_xyz
'x,y,z'
loop_
_atom_site_label
_atom_site_fract_x
_atom_site_fract_y
_atom_site_fract_z
_atom_site_occupancy
Sb1 0.000 0.000 0.000 1
Br1 0.678 0.678 0.000 1
Br2 0.322 0.322 0.000 1
Pt1 0.750 0.250 0.500 1
Pt2 0.250 0.750 0.500 1
```



Compound: MgAgTeI2
Source: the Alexandria database
Functional: GGA-PBE
Structure: relaxed

Values from the calculation:
- offset from the most stable computed form (kJ/mol of formula units) = 72
- E_form (uncorrected) (meV per atom) = 159

Structure (CIF):
```
data_MgAgTeI2
_chemical_formula_sum 'Mg1 Ag1 Te1 I2'
_symmetry_space_group_name_H-M 'P 1'
_symmetry_Int_Tables_number 1
_cell_length_a 5.562
_cell_length_b 5.562
_cell_length_c 5.709
_cell_angle_alpha 90.00
_cell_angle_beta 90.00
_cell_angle_gamma 90.00
loop_
_symmetry_equiv_pos_as_xyz
'x,y,z'
loop_
_atom_site_label
_atom_site_fract_x
_atom_site_fract_y
_atom_site_fract_z
_atom_site_occupancy
Mg1 0.500 0.500 0.500 1
Te1 0.000 0.000 0.500 1
Ag1 0.000 0.000 0.000 1
I1 0.000 0.500 0.000 1
I2 0.500 0.000 0.000 1
```



Compound: La4Sb2I3
Source: the Alexandria database
Functional: GGA-PBE
Structure: relaxed

Values from the calculation:
- E_form (uncorrected) (meV per atom) = -1324

Structure (CIF):
```
data_La4Sb2I3
_chemical_formula_sum 'La4 Sb2 I3'
_symmetry_space_group_name_H-M 'P 1'
_symmetry_Int_Tables_number 1
_cell_length_a 4.603
_cell_length_b 4.603
_cell_length_c 19.026
_cell_angle_alpha 90.07
_cell_angle_beta 89.93
_cell_angle_gamma 120.00
loop_
_symmetry_equiv_pos_as_xyz
'x,y,z'
loop_
_atom_site_label
_atom_site_fract_x
_atom_site_fract_y
_atom_site_fract_z
_atom_site_occupancy
Sb1 0.333 0.667 0.201 1
Sb2 0.667 0.333 0.799 1
La1 0.999 0.001 0.293 1
La2 0.334 0.666 0.891 1
La3 0.666 0.334 0.109 1
La4 0.001 0.999 0.707 1
I1 0.000 0.000 0.000 1
I2 0.665 0.335 0.399 1
I3 0.335 0.665 0.601 1
```



Compound: TaV
Source: the Alexandria database
Functional: GGA-PBE
Structure: relaxed

Values from the calculation:
- offset from the most stable computed form (kJ/mol of formula units) = 47
- formation energy from the elements (eV per atom) = 0.272

Structure (CIF):
```
data_TaV
_chemical_formula_sum 'Ta2 V2'
_symmetry_space_group_name_H-M 'P 1'
_symmetry_Int_Tables_number 1
_cell_length_a 2.992
_cell_length_b 4.593
_cell_length_c 5.316
_cell_angle_alpha 115.59
_cell_angle_beta 90.00
_cell_angle_gamma 90.00
loop_
_symmetry_equiv_pos_as_xyz
'x,y,z'
loop_
_atom_site_label
_atom_site_fract_x
_atom_site_fract_y
_atom_site_fract_z
_atom_site_occupancy
V1 0.250 0.405 0.809 1
V2 0.750 0.595 0.191 1
Ta1 0.750 0.869 0.738 1
Ta2 0.250 0.131 0.262 1
```



Compound: Pm14PrEr
Source: the Alexandria database
Functional: GGA-PBE
Structure: relaxed

Values from the calculation:
- formation energy from the elements (eV per atom) = 0.000

Structure (CIF):
```
data_Pm14PrEr
_chemical_formula_sum 'Pm14 Pr1 Er1'
_symmetry_space_group_name_H-M 'P 1'
_symmetry_Int_Tables_number 1
_cell_length_a 7.322
_cell_length_b 7.322
_cell_length_c 11.792
_cell_angle_alpha 90.00
_cell_angle_beta 90.00
_cell_angle_gamma 120.01
loop_
_symmetry_equiv_pos_as_xyz
'x,y,z'
loop_
_atom_site_label
_atom_site_fract_x
_atom_site_fract_y
_atom_site_fract_z
_atom_site_occupancy
Pm1 0.375 0.625 0.752 1
Pm2 0.874 0.624 0.251 1
Pm3 0.375 0.625 0.248 1
Pm4 0.042 0.958 0.000 1
Pm5 0.376 0.126 0.749 1
Pm6 0.543 0.959 0.000 1
Pm7 0.542 0.458 0.000 1
Pm8 0.707 0.791 0.500 1
Pm9 0.041 0.457 0.000 1
Pm10 0.874 0.624 0.749 1
Pm11 0.376 0.126 0.251 1
Pm12 0.209 0.293 0.500 1
Pm13 0.875 0.125 0.252 1
Pm14 0.875 0.125 0.748 1
Pr1 0.209 0.791 0.500 1
Er1 0.708 0.292 0.500 1
```



Compound: SrCa2RuW
Source: the Alexandria database
Functional: GGA-PBE
Structure: relaxed

Values from the calculation:
- offset from the most stable computed form (kJ/mol of formula units) = 567
- formation energy from the elements (eV per atom) = 2.416

Structure (CIF):
```
data_SrCa2RuW
_chemical_formula_sum 'Sr1 Ca2 Ru1 W1'
_symmetry_space_group_name_H-M 'P 1'
_symmetry_Int_Tables_number 1
_cell_length_a 5.395
_cell_length_b 4.894
_cell_length_c 5.395
_cell_angle_alpha 90.00
_cell_angle_beta 90.00
_cell_angle_gamma 90.00
loop_
_symmetry_equiv_pos_as_xyz
'x,y,z'
loop_
_atom_site_label
_atom_site_fract_x
_atom_site_fract_y
_atom_site_fract_z
_atom_site_occupancy
Ru1 0.500 0.500 0.500 1
Ca1 0.500 0.000 0.000 1
Ca2 0.000 0.000 0.500 1
Sr1 0.000 0.000 0.000 1
W1 0.000 0.500 0.000 1
```



Compound: LaMo
Source: the Alexandria database
Functional: GGA-PBE
Structure: relaxed

Values from the calculation:
- offset from the most stable computed form (kJ/mol of formula units) = 32
- formation energy from the elements (eV per atom) = 0.407

Structure (CIF):
```
data_LaMo
_chemical_formula_sum 'La16 Mo16'
_symmetry_space_group_name_H-M 'P 1'
_symmetry_Int_Tables_number 1
_cell_length_a 9.619
_cell_length_b 14.232
_cell_length_c 5.772
_cell_angle_alpha 90.00
_cell_angle_beta 90.00
_cell_angle_gamma 90.00
loop_
_symmetry_equiv_pos_as_xyz
'x,y,z'
loop_
_atom_site_label
_atom_site_fract_x
_atom_site_fract_y
_atom_site_fract_z
_atom_site_occupancy
Mo1 0.750 0.668 0.750 1
Mo2 0.000 0.582 0.500 1
Mo3 0.000 0.082 0.000 1
Mo4 0.250 0.832 0.250 1
Mo5 0.750 0.332 0.250 1
Mo6 0.500 0.082 0.500 1
Mo7 0.250 0.668 0.250 1
Mo8 0.250 0.168 0.750 1
Mo9 0.500 0.918 0.500 1
Mo10 0.750 0.832 0.750 1
Mo11 0.500 0.582 0.000 1
Mo12 0.000 0.918 0.000 1
Mo13 0.250 0.332 0.750 1
Mo14 0.000 0.418 0.500 1
Mo15 0.500 0.418 0.000 1
Mo16 0.750 0.168 0.250 1
La1 0.086 0.250 0.250 1
La2 0.336 0.000 0.000 1
La3 0.836 0.500 0.000 1
La4 0.586 0.250 0.750 1
La5 0.914 0.750 0.250 1
La6 0.664 0.500 0.500 1
La7 0.336 0.500 0.500 1
La8 0.836 0.000 0.500 1
La9 0.914 0.250 0.750 1
La10 0.164 0.500 0.000 1
La11 0.164 0.000 0.500 1
La12 0.414 0.250 0.250 1
La13 0.664 0.000 0.000 1
La14 0.414 0.750 0.750 1
La15 0.586 0.750 0.250 1
La16 0.086 0.750 0.750 1
```



For reference, total magnetic moment by record: 0.00; 0.00; 0.00; 0.00; 0.00; 0.00; 2.67; 0.00 μB per formula unit.